VASP calculation (PBE) on crystalline HoU2S3O2 at its relaxed geometry.

```
8
Lattice="-1.902 1.902 10.571 1.902 -1.902 10.571 1.902 1.902 -10.571" Properties=species:S:1:pos:R:3 pbc="T T T"
Ho 0.000 0.000 0.000
U 0.000 0.000 6.628
U 0.000 0.000 14.515
S 0.000 0.000 2.718
S 0.000 0.000 10.571
S 0.000 0.000 18.425
O 1.902 0.000 5.286
O 0.000 1.902 5.286
```

Total DFT energy (no corrections) = -8.51 eV per atom
Space-group type = I4/mmm (139)